This record from Alexandria via LeMat-Bulk describes a relaxed VRe3F crystal. The functional is PBE+U.

a = 4.529 Å, b = 4.529 Å, c = 4.529 Å
α = 90.00°, β = 90.00°, γ = 90.00°
Space group Pm-3m (No. 221)
Asymmetric unit:
1 V 0.000 0.000 0.000 [1 per cell]
2 Re 0.000 0.000 0.500 [3 per cell]
3 F 0.500 0.500 0.500 [1 per cell]

Calculated values
Calculated density = 11.24 g cm⁻³
Magnetic moment = 2.259 μB per formula unit
Crystal system = cubic
E above lowest polymorph = 0.898 eV/atom
Density of states at the Fermi level = 1.25 states/eV/atom